Entry 1:
Nd4Sm10Dy | PBE | relaxed

a b c (Å): 9.5868 9.5868 9.5868
angles (deg): 99.64 99.64 131.70
Last column: nearest neighbours and their distance in Å.
Fractional coordinates of all 15 atoms:
Nd1 0.1007 0.7009 0.8016  8 Sm 3.39-3.40
Nd2 0.2991 0.1007 0.3998  8 Sm 3.39-3.40
Nd3 0.7009 0.8993 0.6002  8 Sm 3.39-3.40
Nd4 0.8993 0.2991 0.1984  8 Sm 3.39-3.40
Sm1 0.0531 0.3505 0.8999  1 Dy 3.36, 3 Nd 3.39-3.40
Sm2 0.1532 0.0531 0.7027  1 Dy 3.36, 3 Nd 3.39-3.40
Sm3 0.2500 0.7500 0.5000  4 Nd 3.40
Sm4 0.3505 0.4506 0.2973  1 Dy 3.36, 3 Nd 3.39-3.40
Sm5 0.4506 0.1532 0.1001  1 Dy 3.36, 3 Nd 3.39-3.40
Sm6 0.5494 0.8468 0.8999  1 Dy 3.36, 3 Nd 3.39-3.40
Sm7 0.6495 0.5494 0.7027  1 Dy 3.36, 3 Nd 3.39-3.40
Sm8 0.7500 0.2500 0.5000  4 Nd 3.40
Sm9 0.8468 0.9469 0.2973  1 Dy 3.36, 3 Nd 3.39-3.40
Sm10 0.9469 0.6495 0.1001  1 Dy 3.36, 3 Nd 3.39-3.40
Dy1 0.5000 0.5000 0.0000  8 Sm 3.36

Calculated values
The magnetization is 0.00 μB/f.u. The density comes out at 6.2 Mg/m³. The space group is I4/m (87). Its energy is -59.94 eV per formula unit.

Entry 2:
Nd16Sm6Dy7 | PBE | relaxed

a b c (Å): 11.3623 11.3623 11.3623
angles (deg): 60.00 60.00 60.00
Last column: nearest neighbours and their distance in Å.
Fractional coordinates of all 29 atoms:
Nd1 0.0486 0.6504 0.6504  3 Dy 3.31, 3 Nd 3.64, 3 Sm 3.66
Nd2 0.1257 0.1257 0.1257  4 Dy 3.47-3.50, 3 Nd 3.64, 3 Sm 3.67
Nd3 0.1257 0.1257 0.6230  4 Dy 3.47-3.50, 3 Nd 3.64, 3 Sm 3.67
Nd4 0.1257 0.6230 0.1257  4 Dy 3.47-3.50, 3 Nd 3.64, 3 Sm 3.67
Nd5 0.3496 0.3496 0.3496  3 Dy 3.31, 3 Nd 3.64, 3 Sm 3.66
Nd6 0.3496 0.3496 0.9514  3 Dy 3.31, 3 Nd 3.64, 3 Sm 3.66
Nd7 0.3496 0.9514 0.3496  3 Dy 3.31, 3 Nd 3.64, 3 Sm 3.66
Nd8 0.3770 0.8743 0.8743  4 Dy 3.47-3.50, 3 Nd 3.64, 3 Sm 3.67
Nd9 0.6230 0.1257 0.1257  4 Dy 3.47-3.50, 3 Nd 3.64, 3 Sm 3.67
Nd10 0.6504 0.0486 0.6504  3 Dy 3.31, 3 Nd 3.64, 3 Sm 3.66
Nd11 0.6504 0.6504 0.0486  3 Dy 3.31, 3 Nd 3.64, 3 Sm 3.66
Nd12 0.6504 0.6504 0.6504  3 Dy 3.31, 3 Nd 3.64, 3 Sm 3.66
Nd13 0.8743 0.3770 0.8743  4 Dy 3.47-3.50, 3 Nd 3.64, 3 Sm 3.67
Nd14 0.8743 0.8743 0.3770  4 Dy 3.47-3.50, 3 Nd 3.64, 3 Sm 3.67
Nd15 0.8743 0.8743 0.8743  4 Dy 3.47-3.50, 3 Nd 3.64, 3 Sm 3.67
Nd16 0.9514 0.3496 0.3496  3 Dy 3.31, 3 Nd 3.64, 3 Sm 3.66
Sm1 0.2691 0.2691 0.7309  8 Nd 3.66-3.67, 4 Dy 4.03
Sm2 0.2691 0.7309 0.2691  8 Nd 3.66-3.67, 4 Dy 4.03
Sm3 0.2691 0.7309 0.7309  8 Nd 3.66-3.67, 4 Dy 4.03
Sm4 0.7309 0.2691 0.2691  8 Nd 3.66-3.67, 4 Dy 4.03
Sm5 0.7309 0.2691 0.7309  8 Nd 3.66-3.67, 4 Dy 4.03
Sm6 0.7309 0.7309 0.2691  8 Nd 3.66-3.67, 4 Dy 4.03
Dy1 0.0000 0.0000 0.0000  8 Nd 3.50
Dy2 0.0000 0.0000 0.5000  8 Nd 3.31-3.47
Dy3 0.0000 0.5000 0.0000  8 Nd 3.31-3.47
Dy4 0.0000 0.5000 0.5000  8 Nd 3.31-3.47
Dy5 0.5000 0.0000 0.0000  8 Nd 3.31-3.47
Dy6 0.5000 0.0000 0.5000  8 Nd 3.31-3.47
Dy7 0.5000 0.5000 0.0000  8 Nd 3.31-3.47

Calculated values
The magnetization is 0.00 μB/f.u. The density comes out at 7.0 Mg/m³. The space group is Fm-3m (225). Its energy is -130.87 eV per formula unit.

Entry 3:
Nd5Sm2Dy5 | PBE | relaxed

a b c (Å): 8.0804 8.0804 11.4502
angles (deg): 115.14 115.14 36.80
Last column: nearest neighbours and their distance in Å.
Fractional coordinates of all 12 atoms:
Nd1 0.0000 0.0000 0.0000  2 Sm 3.60, 2 Nd 3.60, 8 Dy 3.61
Nd2 0.1652 0.1652 0.4989  2 Sm 3.60-3.64, 5 Dy 3.60-3.65, 5 Nd 3.63-3.64
Nd3 0.2496 0.2496 0.2481  6 Dy 3.60-3.63, 4 Nd 3.60-3.64, 2 Sm 3.62
Nd4 0.7504 0.7504 0.7519  6 Dy 3.60-3.63, 4 Nd 3.60-3.64, 2 Sm 3.62
Nd5 0.8348 0.8348 0.5011  2 Sm 3.60-3.64, 5 Dy 3.60-3.65, 5 Nd 3.63-3.64
Sm1 0.0831 0.0831 0.7516  7 Dy 3.60-3.63, 5 Nd 3.60-3.64
Sm2 0.9169 0.9169 0.2484  7 Dy 3.60-3.63, 5 Nd 3.60-3.64
Dy1 0.3329 0.3329 0.9995  5 Nd 3.60-3.61, 4 Dy 3.61-3.62, 3 Sm 3.61
Dy2 0.4177 0.4177 0.7510  2 Sm 3.60, 7 Nd 3.61-3.65, 3 Dy 3.61-3.62
Dy3 0.5000 0.5000 0.5000  6 Nd 3.60-3.63, 2 Dy 3.62, 4 Sm 3.63
Dy4 0.5823 0.5823 0.2490  2 Sm 3.60, 7 Nd 3.61-3.65, 3 Dy 3.61-3.62
Dy5 0.6671 0.6671 0.0005  5 Nd 3.60-3.61, 4 Dy 3.61-3.62, 3 Sm 3.61

Calculated values
The magnetization is 0.00 μB/f.u. The density comes out at 7.6 Mg/m³. The space group is C2/m (12). Its energy is -56.10 eV per formula unit.

Entry 4:
NdSm3Dy | PBE | relaxed

a b c (Å): 6.2616 6.2616 10.0443
angles (deg): 109.66 109.66 73.52
Last column: nearest neighbours and their distance in Å.
Fractional coordinates of all 10 atoms:
Nd1 0.0000 0.0000 0.0000  6 Sm 3.46-3.76, 2 Dy 3.76
Nd2 0.5000 0.5000 0.5000  6 Sm 3.50-3.72, 2 Dy 3.74
Sm1 0.0425 0.4577 0.7539  2 Sm 3.11-3.41, 1 Dy 3.38, 1 Nd 3.46
Sm2 0.0993 0.0993 0.4045  7 Sm 3.29-3.54
Sm3 0.4577 0.0425 0.7539  2 Sm 3.11-3.41, 1 Dy 3.38, 1 Nd 3.46
Sm4 0.5423 0.9575 0.2461  2 Sm 3.11-3.41, 1 Dy 3.38, 1 Nd 3.46
Sm5 0.9007 0.9007 0.5955  7 Sm 3.29-3.54
Sm6 0.9575 0.5423 0.2461  2 Sm 3.11-3.41, 1 Dy 3.38, 1 Nd 3.46
Dy1 0.4055 0.4055 0.0982  1 Dy 3.26, 6 Sm 3.38-3.50
Dy2 0.5945 0.5945 0.9018  1 Dy 3.26, 6 Sm 3.38-3.50

Calculated values
The magnetization is 0.00 μB/f.u. The density comes out at 7.3 Mg/m³. The space group is C2/m (12). Its energy is -22.59 eV per formula unit.

Entry 5:
Nd7Sm3Dy2 | PBE | relaxed

a b c (Å): 5.9549 3.6300 19.2215
angles (deg): 90.00 93.30 90.00
Last column: nearest neighbours and their distance in Å.
Fractional coordinates of all 12 atoms:
Nd1 0.0000 0.0000 0.0000  4 Nd 3.47-3.63, 4 Sm 3.49
Nd2 0.1824 0.5000 0.1823  6 Nd 3.54-3.63, 2 Dy 3.68-3.71
Nd3 0.2574 0.5000 0.5353  1 Dy 3.23, 2 Nd 3.26-3.28
Nd4 0.3198 0.0000 0.8546  2 Dy 3.42, 2 Sm 3.45, 7 Nd 3.47-3.63
Nd5 0.6802 0.0000 0.1454  2 Dy 3.42, 2 Sm 3.45, 7 Nd 3.47-3.63
Nd6 0.7426 0.5000 0.4647  1 Dy 3.23, 2 Nd 3.26-3.28
Nd7 0.8176 0.5000 0.8177  6 Nd 3.54-3.63, 2 Dy 3.68-3.71
Sm1 0.2160 0.0000 0.3668  2 Sm 3.63, 8 Nd 3.71-4.00, 4 Dy 3.72-3.76
Sm2 0.5000 0.5000 0.0000  8 Nd 3.45-3.49, 2 Sm 3.63
Sm3 0.7840 0.0000 0.6332  2 Sm 3.63, 8 Nd 3.71-4.00, 4 Dy 3.72-3.76
Dy1 0.2934 0.5000 0.7036  3 Nd 3.23-3.42
Dy2 0.7066 0.5000 0.2964  3 Nd 3.23-3.42

Calculated values
The magnetization is 0.00 μB/f.u. The density comes out at 7.1 Mg/m³. The space group is P2/m (10). Its energy is -55.68 eV per formula unit.

Entry 6:
Nd3SmDy2 | PBE | relaxed

a b c (Å): 9.6016 9.6016 6.2770
angles (deg): 90.07 90.07 44.35
Last column: nearest neighbours and their distance in Å.
Fractional coordinates of all 12 atoms:
Nd1 0.1248 0.8752 0.7500  4 Sm 3.62-3.63, 4 Nd 3.62-3.64, 4 Dy 3.63
Nd2 0.2073 0.4580 0.5837  4 Nd 3.61-3.64, 6 Dy 3.61-3.63, 2 Sm 3.64
Nd3 0.4580 0.2073 0.0837  4 Nd 3.61-3.64, 6 Dy 3.61-3.63, 2 Sm 3.64
Nd4 0.5420 0.7927 0.9163  4 Nd 3.61-3.64, 6 Dy 3.61-3.63, 2 Sm 3.64
Nd5 0.7927 0.5420 0.4163  4 Nd 3.61-3.64, 6 Dy 3.61-3.63, 2 Sm 3.64
Nd6 0.8752 0.1248 0.2500  4 Sm 3.62-3.63, 4 Nd 3.62-3.64, 4 Dy 3.63
Sm1 0.3741 0.6259 0.2500  8 Nd 3.62-3.64, 2 Sm 3.63, 2 Dy 3.63
Sm2 0.6259 0.3741 0.7500  8 Nd 3.62-3.64, 2 Sm 3.63, 2 Dy 3.63
Dy1 0.0427 0.2915 0.9172  8 Nd 3.61-3.63, 3 Dy 3.62, 1 Sm 3.63
Dy2 0.2915 0.0427 0.4172  8 Nd 3.61-3.63, 3 Dy 3.62, 1 Sm 3.63
Dy3 0.7085 0.9573 0.5828  8 Nd 3.61-3.63, 3 Dy 3.62, 1 Sm 3.63
Dy4 0.9573 0.7085 0.0828  8 Nd 3.61-3.63, 3 Dy 3.62, 1 Sm 3.63

Calculated values
The magnetization is 0.00 μB/f.u. The density comes out at 7.5 Mg/m³. The space group is C2/c (15). Its energy is -28.13 eV per formula unit.

Entry 7:
Nd2Sm3Dy3 | PBE | relaxed

a b c (Å): 8.6253 8.6253 6.0566
angles (deg): 110.07 110.07 39.68
Last column: nearest neighbours and their distance in Å.
Fractional coordinates of all 8 atoms:
Nd1 0.2496 0.2496 0.1848  5 Sm 3.46-3.81, 5 Dy 3.47-3.79, 2 Nd 3.69
Nd2 0.7504 0.7504 0.8152  5 Sm 3.46-3.81, 5 Dy 3.47-3.79, 2 Nd 3.69
Sm1 0.3692 0.3692 0.8154  1 Sm 3.33, 4 Nd 3.46-3.60, 3 Dy 3.55-3.63
Sm2 0.5000 0.5000 0.5000  2 Sm 3.33, 4 Dy 3.53
Sm3 0.6308 0.6308 0.1846  1 Sm 3.33, 4 Nd 3.46-3.60, 3 Dy 3.55-3.63
Dy1 0.0000 0.0000 0.0000  2 Dy 3.36, 4 Sm 3.55
Dy2 0.1290 0.1290 0.5789  1 Dy 3.36, 4 Nd 3.47-3.60, 3 Sm 3.53-3.63
Dy3 0.8710 0.8710 0.4211  1 Dy 3.36, 4 Nd 3.47-3.60, 3 Sm 3.53-3.63

Calculated values
The magnetization is 0.00 μB/f.u. The density comes out at 7.6 Mg/m³. The space group is C2/m (12). Its energy is -36.76 eV per formula unit.

Entry 8:
NdSm4Dy5 | PBE | relaxed

a b c (Å): 8.8159 8.8159 11.1424
angles (deg): 90.14 90.14 23.24
Last column: nearest neighbours and their distance in Å.
Fractional coordinates of all 10 atoms:
Nd1 0.0000 0.0000 0.0000  4 Sm 3.36, 2 Nd 3.55, 4 Dy 3.55
Sm1 0.1541 0.1541 0.2498  4 Sm 3.55-3.63, 7 Dy 3.68-3.86, 1 Nd 3.85
Sm2 0.4706 0.4706 0.2520  4 Dy 3.32-3.33, 2 Nd 3.36, 4 Sm 3.55-3.63
Sm3 0.5294 0.5294 0.7480  4 Dy 3.32-3.33, 2 Nd 3.36, 4 Sm 3.55-3.63
Sm4 0.8459 0.8459 0.7502  4 Sm 3.55-3.63, 7 Dy 3.68-3.86, 1 Nd 3.85
Dy1 0.0000 0.0000 0.5000  4 Sm 3.32, 6 Dy 3.52-3.55
Dy2 0.3253 0.3253 0.0542  2 Sm 3.33-3.68, 4 Dy 3.37-3.55, 2 Nd 3.55
Dy3 0.3266 0.3266 0.4500  2 Sm 3.33-3.72, 6 Dy 3.38-3.55
Dy4 0.6734 0.6734 0.5500  2 Sm 3.33-3.72, 6 Dy 3.38-3.55
Dy5 0.6747 0.6747 0.9458  2 Sm 3.33-3.68, 4 Dy 3.37-3.55, 2 Nd 3.55

Calculated values
The magnetization is 0.00 μB/f.u. The density comes out at 7.6 Mg/m³. The space group is C2/m (12). Its energy is -44.77 eV per formula unit.

Entry 9:
Nd5Sm3Dy | PBE | relaxed

a b c (Å): 10.6936 10.6936 11.7749
angles (deg): 121.02 121.02 34.29
Last column: nearest neighbours and their distance in Å.
Fractional coordinates of all 18 atoms:
Nd1 0.0388 0.6835 0.3461  2 Sm 3.15-3.50
Nd2 0.0811 0.9189 0.7500  2 Dy 3.07-3.23
Nd3 0.1329 0.5095 0.6668  4 Sm 3.48-3.84, 5 Nd 3.49-3.69, 1 Dy 3.69
Nd4 0.3165 0.9612 0.1539  2 Sm 3.15-3.50
Nd5 0.4904 0.8671 0.8332  4 Sm 3.48-3.84, 5 Nd 3.49-3.69, 1 Dy 3.69
Nd6 0.5095 0.1329 0.1668  4 Sm 3.48-3.84, 5 Nd 3.49-3.69, 1 Dy 3.69
Nd7 0.6835 0.0388 0.8461  2 Sm 3.15-3.50
Nd8 0.8671 0.4904 0.3332  4 Sm 3.48-3.84, 5 Nd 3.49-3.69, 1 Dy 3.69
Nd9 0.9189 0.0811 0.2500  2 Dy 3.07-3.23
Nd10 0.9612 0.3165 0.6539  2 Sm 3.15-3.50
Sm1 0.0982 0.5480 0.9729  2 Sm 3.39-3.73, 1 Dy 3.42, 4 Nd 3.48-3.62
Sm2 0.4520 0.9018 0.5271  2 Sm 3.39-3.73, 1 Dy 3.42, 4 Nd 3.48-3.62
Sm3 0.5000 0.5000 0.0000  2 Dy 3.00, 2 Nd 3.15
Sm4 0.5000 0.5000 0.5000  2 Dy 3.00, 2 Nd 3.15
Sm5 0.5480 0.0982 0.4729  2 Sm 3.39-3.73, 1 Dy 3.42, 4 Nd 3.48-3.62
Sm6 0.9018 0.4520 0.0271  2 Sm 3.39-3.73, 1 Dy 3.42, 4 Nd 3.48-3.62
Dy1 0.4065 0.5935 0.2500  2 Sm 3.00, 2 Nd 3.07-3.23
Dy2 0.5935 0.4065 0.7500  2 Sm 3.00, 2 Nd 3.07-3.23

Calculated values
The magnetization is 0.00 μB/f.u. The density comes out at 6.9 Mg/m³. The space group is C2/c (15). Its energy is -40.23 eV per formula unit.

Entry 10:
Nd6Sm2Dy3 | PBE | relaxed

a b c (Å): 17.4087 17.4087 17.4087
angles (deg): 164.18 164.18 22.45
Last column: nearest neighbours and their distance in Å.
Fractional coordinates of all 11 atoms:
Nd1 0.1210 0.6210 0.5000  6 Nd 3.39-3.71, 2 Dy 3.50, 2 Sm 3.53
Nd2 0.2039 0.2039 0.0000  5 Dy 3.40-3.43, 4 Nd 3.71
Nd3 0.3790 0.8790 0.5000  6 Nd 3.39-3.71, 2 Dy 3.50, 2 Sm 3.53
Nd4 0.6210 0.1210 0.5000  6 Nd 3.39-3.71, 2 Dy 3.50, 2 Sm 3.53
Nd5 0.7961 0.7961 0.0000  5 Dy 3.40-3.43, 4 Nd 3.71
Nd6 0.8790 0.3790 0.5000  6 Nd 3.39-3.71, 2 Dy 3.50, 2 Sm 3.53
Sm1 0.0450 0.0450 0.0000  1 Sm 3.07
Sm2 0.9550 0.9550 0.0000  1 Sm 3.07
Dy1 0.3043 0.3043 0.0000  9 Nd 3.40-3.50
Dy2 0.5000 0.5000 0.0000  8 Sm 3.72
Dy3 0.6957 0.6957 0.0000  9 Nd 3.40-3.50

Calculated values
The magnetization is 0.00 μB/f.u. The density comes out at 7.0 Mg/m³. The space group is I4/mmm (139). Its energy is -48.73 eV per formula unit.

Entry 11:
Nd2Sm3Dy6 | PBE | relaxed

a b c (Å): 6.1744 6.1744 11.7314
angles (deg): 95.08 95.08 120.10
Last column: nearest neighbours and their distance in Å.
Fractional coordinates of all 11 atoms:
Nd1 0.1666 0.8334 0.0000  6 Dy 3.55, 3 Nd 3.56-3.57
Nd2 0.8334 0.1666 0.0000  6 Dy 3.55, 3 Nd 3.56-3.57
Sm1 0.0000 0.0000 0.5000  6 Dy 3.54, 6 Sm 3.55-3.59
Sm2 0.3357 0.6643 0.5000  6 Sm 3.52-3.59, 6 Dy 3.52-3.55
Sm3 0.6643 0.3357 0.5000  6 Sm 3.52-3.59, 6 Dy 3.52-3.55
Dy1 0.0833 0.4164 0.7495  3 Sm 3.54-3.55, 2 Nd 3.55, 6 Dy 3.56-3.57
Dy2 0.2504 0.2504 0.2508  3 Sm 3.52-3.54, 2 Nd 3.55, 6 Dy 3.56-3.57
Dy3 0.4164 0.0833 0.7495  3 Sm 3.54-3.55, 2 Nd 3.55, 6 Dy 3.56-3.57
Dy4 0.5836 0.9167 0.2505  3 Sm 3.54-3.55, 2 Nd 3.55, 6 Dy 3.56-3.57
Dy5 0.7496 0.7496 0.7492  3 Sm 3.52-3.54, 2 Nd 3.55, 6 Dy 3.56-3.57
Dy6 0.9167 0.5836 0.2505  3 Sm 3.54-3.55, 2 Nd 3.55, 6 Dy 3.56-3.57

Calculated values
The magnetization is 0.00 μB/f.u. The density comes out at 7.5 Mg/m³. The space group is C2/m (12). Its energy is -49.28 eV per formula unit.

Entry 12:
Nd4Sm8Dy3 | PBE | relaxed

a b c (Å): 9.3806 9.3806 6.8627
angles (deg): 111.36 111.36 86.89
Last column: nearest neighbours and their distance in Å.
Fractional coordinates of all 15 atoms:
Nd1 0.0000 0.0000 0.0000  6 Sm 3.29-3.56, 2 Nd 3.43
Nd2 0.0000 0.0000 0.5000  2 Nd 3.43, 4 Sm 3.52-3.75
Nd3 0.0000 0.5000 0.0000  4 Sm 3.24-3.41, 2 Dy 3.43
Nd4 0.5000 0.0000 0.0000  4 Sm 3.24-3.41, 2 Dy 3.43
Sm1 0.2552 0.7448 0.0000  3 Dy 3.16-3.41, 3 Nd 3.29-3.41
Sm2 0.2625 0.2625 0.5173  3 Dy 3.23-3.27, 2 Sm 3.27-3.60, 2 Nd 3.52-3.56
Sm3 0.2729 0.2729 0.0520  3 Nd 3.24-3.55, 4 Sm 3.27-3.60, 1 Dy 3.29
Sm4 0.3568 0.6432 0.5000  7 Sm 3.59-3.78, 4 Dy 3.67-3.90, 2 Nd 3.68
Sm5 0.6432 0.3568 0.5000  7 Sm 3.59-3.78, 4 Dy 3.67-3.90, 2 Nd 3.68
Sm6 0.7271 0.7271 0.9480  3 Nd 3.24-3.55, 4 Sm 3.27-3.60, 1 Dy 3.29
Sm7 0.7375 0.7375 0.4827  3 Dy 3.23-3.27, 2 Sm 3.27-3.60, 2 Nd 3.52-3.56
Sm8 0.7448 0.2552 0.0000  3 Dy 3.16-3.41, 3 Nd 3.29-3.41
Dy1 0.0000 0.5000 0.5000  4 Sm 3.23-3.41, 2 Nd 3.43
Dy2 0.5000 0.0000 0.5000  4 Sm 3.23-3.41, 2 Nd 3.43
Dy3 0.5000 0.5000 0.0000  6 Sm 3.16-3.29

Calculated values
The magnetization is 0.00 μB/f.u. The density comes out at 7.2 Mg/m³. The space group is C2/m (12). Its energy is -65.41 eV per formula unit.